a) Material: Ag2Rh
Method: DFT, PBE
State: relaxed

Properties
The calculation puts the mass density at 10.5 g/cm3. As for the space group: P-62m (189).

abc: 7.9551 7.9551 2.7562
angles: 90.00 90.00 120.00
Site moments in Bohr magnetons follow the coordinates.
Positions (direct):
Ag  0.3614  0.3614  0.5000  0.01
Ag  0.0000  0.6386  0.5000  0.01
Ag  0.6943  0.6943  0.0000  0.01
Ag  0.6386  0.0000  0.5000  0.01
Ag  0.3057  0.0000  0.0000  0.01
Ag  0.0000  0.3057  0.0000  0.01
Rh  0.3333  0.6667  0.0000  0.66
Rh  0.6667  0.3333  0.0000  0.66
Rh  0.0000  0.0000  0.5000  0.60

---

b) Material: Ag2Rh
Method: DFT, PBE
State: relaxed

Properties
The calculation puts the mass density at 10.6 g/cm3. As for the space group: C2/m (12).

abc: 5.5643 5.5643 6.7706
angles: 75.41 75.41 29.43
Site moments in Bohr magnetons follow the coordinates.
Positions (direct):
Ag  0.9790  0.9790  0.3072  0.00
Ag  0.6420  0.6420  0.9683  0.00
Ag  0.3580  0.3580  0.0317  0.00
Ag  0.0210  0.0210  0.6928  0.00
Rh  0.7025  0.7025  0.3744  0.09
Rh  0.2975  0.2975  0.6256  0.09

---

c) Material: Ag2Rh
Method: DFT, PBE
State: relaxed

Properties
The calculation puts the mass density at 10.6 g/cm3. As for the space group: Pnma (62).

abc: 5.7618 4.0243 8.6246
angles: 90.00 90.00 90.00
Site moments in Bohr magnetons follow the coordinates.
Positions (direct):
Ag  0.3866  0.7500  0.0886  0.02
Ag  0.1134  0.2500  0.5886  0.02
Ag  0.3583  0.7500  0.7543  0.02
Ag  0.6417  0.2500  0.2457  0.02
Ag  0.8866  0.7500  0.4114  0.02
Ag  0.8583  0.7500  0.7457  0.02
Ag  0.6134  0.2500  0.9114  0.02
Ag  0.1417  0.2500  0.2543  0.02
Rh  0.6009  0.2500  0.5699  0.65
Rh  0.3991  0.7500  0.4301  0.65
Rh  0.1009  0.2500  0.9301  0.65
Rh  0.8991  0.7500  0.0699  0.65

---

Best to worst by energy: b), c), a).